1.
# CdAg2Hg

A geometry-optimized CdAg2Hg structure (PBE-GGA, Alexandria via LeMat-Bulk).

## Properties
The calculation puts the density at 11.1 g cm⁻³. The value obtained for the calculated formation energy is 0.039 eV per atom. As for the excess energy over the best structure of this formula in the dataset: 0.032 eV/atom. As for the raw total energy: -6.8 eV per formula unit.

Unit cell a=4.8199 b=4.8199 c=4.8199 alpha=60.00 beta=60.00 gamma=60.00
With the nearest neighbours (Å) after each atom.
Element x y z (fractional)
Hg  0.2500  0.2500  0.2500  4 Cd 2.95, 4 Ag 2.95
Cd  0.5000  0.5000  0.5000  4 Ag 2.95, 4 Hg 2.95
Ag  0.7500  0.7500  0.7500  4 Cd 2.95, 4 Ag 2.95
Ag  0.0000  0.0000  0.0000  4 Hg 2.95, 4 Ag 2.95


2.
# SrTaFe2

A geometry-optimized SrTaFe2 structure (PBE-GGA, Alexandria via LeMat-Bulk).

## Properties
The calculation puts the density at 7.5 g cm⁻³. The value obtained for the calculated formation energy is 0.557 eV per atom. As for the excess energy over the best structure of this formula in the dataset: 0.230 eV/atom. As for the raw total energy: -28.2 eV per formula unit.

Unit cell a=6.9626 b=6.9626 c=6.9626 alpha=153.25 beta=146.28 gamma=43.56
With the nearest neighbours (Å) after each atom.
Element x y z (fractional)
Ta  0.7190  0.2190  0.5000  6 Fe 2.55-2.59
Fe  0.2296  0.7296  0.5000  2 Fe 2.34, 4 Ta 2.59
Fe  0.0983  0.0983  0.0000  2 Fe 2.34, 2 Ta 2.55
Sr  0.4531  0.4531  0.0000  6 Fe 3.19-3.31, 2 Sr 3.22


3.
# AcLuAg2

A geometry-optimized AcLuAg2 structure (PBE-GGA, Alexandria via LeMat-Bulk).

## Properties
The calculation puts the density at 9.2 g cm⁻³. The value obtained for the calculated formation energy is -0.241 eV per atom. As for the excess energy over the best structure of this formula in the dataset: 0.040 eV/atom. As for the raw total energy: -15.3 eV per formula unit.

Unit cell a=5.0788 b=5.0788 c=5.7972 alpha=64.02 beta=64.02 gamma=60.00
With the nearest neighbours (Å) after each atom.
Element x y z (fractional)
Ag  0.7832  0.7832  0.6504  3 Lu 3.03, 1 Ac 3.25, 3 Ag 3.30
Ag  0.2168  0.2168  0.3496  3 Lu 3.03, 1 Ac 3.25, 3 Ag 3.30
Ac  0.0000  0.0000  0.0000  8 Ag 3.25-3.41
Lu  0.5000  0.5000  0.5000  6 Ag 3.03


4.
# AcCdHgRh

A geometry-optimized AcCdHgRh structure (PBE-GGA, Alexandria via LeMat-Bulk).

## Properties
The calculation puts the density at 9.4 g cm⁻³. The value obtained for the calculated formation energy is -0.317 eV per atom. As for the excess energy over the best structure of this formula in the dataset: 0.000 eV/atom. As for the raw total energy: -13.9 eV per formula unit.

Unit cell a=3.8484 b=4.3972 c=7.3244 alpha=107.38 beta=105.23 gamma=90.00
With the nearest neighbours (Å) after each atom.
Element x y z (fractional)
Ac  0.3605  0.8186  0.7210  4 Rh 2.99
Hg  0.7017  0.1597  0.4035  1 Rh 2.78, 2 Cd 2.87
Rh  0.9084  0.3668  0.8169  1 Hg 2.78, 2 Cd 2.84, 4 Ac 2.99
Cd  0.5642  0.5228  0.1283  2 Rh 2.84, 2 Hg 2.87


Question: Number 2 is which compound?
Answer: SrTaFe2